# 1
First-principles (PBE-GGA) data for an optimized crystal structure of Pa3Hg2I10, as listed in the Alexandria database.

## Properties
Its total energy is -3.652 eV/atom.

Cell: 8.5827 12.2212 15.4099 Å, 110.32 106.17 90.00°
Site moments in Bohr magnetons follow the coordinates.
Atoms (fractional coordinates):
1 Pa 0.9226 0.5060 0.8452  1.33
2 Pa 0.0774 0.4940 0.1548  1.33
3 Pa 0.8180 0.9625 0.6360  1.50
4 Pa 0.1820 0.0375 0.3640  1.50
5 Pa 0.7590 0.0000 0.0000  1.77
6 Pa 0.2410 0.0000 0.0000  1.77
7 Hg 0.7343 0.3234 0.4686  0.00
8 Hg 0.2657 0.6766 0.5314  0.00
9 Hg 0.6243 0.7487 0.2486  0.00
10 Hg 0.3757 0.2513 0.7514  0.00
11 I 0.6299 0.9422 0.7769  -0.02
12 I 0.1470 0.9422 0.7769  -0.02
13 I 0.3701 0.0578 0.2231  -0.02
14 I 0.8530 0.0578 0.2231  -0.02
15 I 0.6109 0.5451 0.7285  -0.03
16 I 0.1176 0.5451 0.7285  -0.03
17 I 0.3891 0.4549 0.2715  -0.03
18 I 0.8824 0.4549 0.2715  -0.03
19 I 0.9840 0.7927 0.9679  -0.02
20 I 0.0160 0.2073 0.0321  -0.02
21 I 0.8735 0.2372 0.7470  -0.02
22 I 0.1265 0.7628 0.2530  -0.02
23 I 0.7662 0.7097 0.5324  -0.03
24 I 0.2338 0.2903 0.4676  -0.03
25 I 0.4873 0.8123 0.9746  -0.02
26 I 0.5127 0.1877 0.0254  -0.02
27 I 0.7534 0.5000 0.0000  -0.02
28 I 0.2466 0.5000 0.0000  -0.02
29 I 0.5000 0.0000 0.5000  -0.03
30 I 0.0000 0.0000 0.5000  -0.03

# 2
First-principles (PBE-GGA) data for an optimized crystal structure of RbBaHg6, as listed in the Alexandria database.

## Properties
As for the energy of formation: -0.31 eV/atom. Its total energy is -0.902 eV/atom.

Cell: 5.4732 7.4036 7.4036 Å, 119.96 90.00 90.00°
Atoms (fractional coordinates):
1 Rb 0.5000 0.4159 0.5841
2 Ba 0.0000 0.0841 0.9159
3 Hg 0.0000 0.0440 0.3963
4 Hg 0.0000 0.6037 0.9560
5 Hg 0.0000 0.6021 0.3979
6 Hg 0.5000 0.4493 0.1006
7 Hg 0.5000 0.8994 0.5507
8 Hg 0.5000 0.9012 0.0988

# 3
First-principles (PBE-GGA) data for an optimized crystal structure of Cs5AsO4F2, as listed in the Alexandria database.

## Properties
Its total energy is -4.669 eV/atom.

Cell: 7.0441 6.4382 8.4183 Å, 90.00 90.00 123.17°
Atoms (fractional coordinates):
1 Cs 0.0864 0.3647 0.2323
2 Cs 0.4153 0.0000 0.5000
3 Cs 0.0864 0.3647 0.7677
4 Cs 0.7218 0.6353 0.7677
5 Cs 0.7218 0.6353 0.2323
6 As 0.4081 0.0000 0.0000
7 O 0.5539 0.0000 0.1674
8 O 0.5539 0.0000 0.8326
9 O 0.3955 0.2621 0.0000
10 O 0.1334 0.7379 0.0000
11 F 0.9412 0.5531 0.5000
12 F 0.3880 0.4469 0.5000

Please write out number 3 again, unchanged.
First-principles (PBE-GGA) data for an optimized crystal structure of Cs5AsO4F2, as listed in the Alexandria database.

## Properties
Its total energy is -4.669 eV/atom.

Cell: 7.0441 6.4382 8.4183 Å, 90.00 90.00 123.17°
Atoms (fractional coordinates):
1 Cs 0.0864 0.3647 0.2323
2 Cs 0.4153 0.0000 0.5000
3 Cs 0.0864 0.3647 0.7677
4 Cs 0.7218 0.6353 0.7677
5 Cs 0.7218 0.6353 0.2323
6 As 0.4081 0.0000 0.0000
7 O 0.5539 0.0000 0.1674
8 O 0.5539 0.0000 0.8326
9 O 0.3955 0.2621 0.0000
10 O 0.1334 0.7379 0.0000
11 F 0.9412 0.5531 0.5000
12 F 0.3880 0.4469 0.5000

Repeat the second record exactly.
First-principles (PBE-GGA) data for an optimized crystal structure of RbBaHg6, as listed in the Alexandria database.

## Properties
As for the energy of formation: -0.31 eV/atom. Its total energy is -0.902 eV/atom.

Cell: 5.4732 7.4036 7.4036 Å, 119.96 90.00 90.00°
Atoms (fractional coordinates):
1 Rb 0.5000 0.4159 0.5841
2 Ba 0.0000 0.0841 0.9159
3 Hg 0.0000 0.0440 0.3963
4 Hg 0.0000 0.6037 0.9560
5 Hg 0.0000 0.6021 0.3979
6 Hg 0.5000 0.4493 0.1006
7 Hg 0.5000 0.8994 0.5507
8 Hg 0.5000 0.9012 0.0988

Please write out number 1 again, unchanged.
First-principles (PBE-GGA) data for an optimized crystal structure of Pa3Hg2I10, as listed in the Alexandria database.

## Properties
Its total energy is -3.652 eV/atom.

Cell: 8.5827 12.2212 15.4099 Å, 110.32 106.17 90.00°
Site moments in Bohr magnetons follow the coordinates.
Atoms (fractional coordinates):
1 Pa 0.9226 0.5060 0.8452  1.33
2 Pa 0.0774 0.4940 0.1548  1.33
3 Pa 0.8180 0.9625 0.6360  1.50
4 Pa 0.1820 0.0375 0.3640  1.50
5 Pa 0.7590 0.0000 0.0000  1.77
6 Pa 0.2410 0.0000 0.0000  1.77
7 Hg 0.7343 0.3234 0.4686  0.00
8 Hg 0.2657 0.6766 0.5314  0.00
9 Hg 0.6243 0.7487 0.2486  0.00
10 Hg 0.3757 0.2513 0.7514  0.00
11 I 0.6299 0.9422 0.7769  -0.02
12 I 0.1470 0.9422 0.7769  -0.02
13 I 0.3701 0.0578 0.2231  -0.02
14 I 0.8530 0.0578 0.2231  -0.02
15 I 0.6109 0.5451 0.7285  -0.03
16 I 0.1176 0.5451 0.7285  -0.03
17 I 0.3891 0.4549 0.2715  -0.03
18 I 0.8824 0.4549 0.2715  -0.03
19 I 0.9840 0.7927 0.9679  -0.02
20 I 0.0160 0.2073 0.0321  -0.02
21 I 0.8735 0.2372 0.7470  -0.02
22 I 0.1265 0.7628 0.2530  -0.02
23 I 0.7662 0.7097 0.5324  -0.03
24 I 0.2338 0.2903 0.4676  -0.03
25 I 0.4873 0.8123 0.9746  -0.02
26 I 0.5127 0.1877 0.0254  -0.02
27 I 0.7534 0.5000 0.0000  -0.02
28 I 0.2466 0.5000 0.0000  -0.02
29 I 0.5000 0.0000 0.5000  -0.03
30 I 0.0000 0.0000 0.5000  -0.03